No. 1
Entry from Alexandria via LeMat-Bulk: a relaxed structure of PmNdSm2Er (PBE).

```
PmNdSm2Er
1.0
-0.4008 -6.5039 -0.8633
8.3843 -0.5310 0.1078
-0.4848 -0.7925 6.1955
Pm Nd Sm Er
2 2 4 2
Cartesian
-0.3482 -3.8820 1.0599
-0.5374 -3.4144 4.2723
0.0000 0.0000 0.0000
-0.2424 -0.3963 3.0977
5.1288 -5.4787 4.2369
1.9733 -5.2486 3.9684
5.5255 -2.5789 1.4715
2.3699 -2.3488 1.2030
3.7620 -1.9393 4.5572
3.7367 -5.8881 0.8827
```

DFT total energy = -44.298 eV/cell
DFT formation energy = 0.274 eV per atom
DOS at the Fermi energy = 13.1 states/eV/cell


No. 2
Entry from Alexandria via LeMat-Bulk: a relaxed structure of PaNO (PBE).

```
PaNO
1.0
3.5943 0.0000 0.0000
-1.7972 3.1128 0.0000
0.0000 0.0000 5.2951
Pa O N
1 1 1
Cartesian
1.7972 1.0376 1.8066
0.0000 0.0000 0.8551
0.0000 2.0752 2.6334
```

DFT total energy = -30.001 eV/cell
excess energy over the best structure of this formula in the dataset = 350 meV per atom
DOS at the Fermi energy = 0.0 states/eV/cell
E_form (uncorrected) = -696.8 kJ/mol of formula units


No. 3
Entry from Alexandria via LeMat-Bulk: a relaxed structure of Zn5Mo (PBE).

```
Zn5Mo
1.0
2.6911 0.0000 0.0000
1.3456 5.1076 -0.0077
0.0000 1.7629 6.4813
Mo Zn
1 5
Cartesian
1.3456 5.1024 0.0356
2.6911 5.2794 4.6990
1.3456 2.8473 4.2845
2.6911 1.2257 2.4622
2.6911 3.9879 2.2063
1.3456 2.4022 0.3296
```

DFT total energy = -16.922 eV/cell
excess energy over the best structure of this formula in the dataset = 21 meV per atom
DFT formation energy = 0.046 eV per atom
DOS at the Fermi energy = 1.5 states/eV/cell


No. 4
Entry from Alexandria via LeMat-Bulk: a relaxed structure of LiCaTa2Pd (PBE).

```
LiCaTa2Pd
1.0
4.4939 0.0000 0.0000
0.0000 4.7035 0.0000
0.0000 0.0000 4.4939
Ca Li Pd Ta
1 1 1 2
Cartesian
2.2470 2.3518 2.2470
0.0000 0.0000 0.0000
0.0000 2.3518 0.0000
0.0000 0.0000 2.2470
2.2470 0.0000 0.0000
```

DFT total energy = -28.091 eV/cell
DFT formation energy = 0.945 eV per atom
DOS at the Fermi energy = 4.8 states/eV/cell


No. 5
Entry from Alexandria via LeMat-Bulk: a relaxed structure of NdSeBrO4 (PBE).

```
NdSeBrO4
1.0
-4.5469 -0.7216 -4.4500
-2.2253 -6.0027 0.1158
-5.7449 0.7330 3.7691
Nd Se Br O
2 2 2 8
Cartesian
-6.5294 -0.9222 2.2535
-5.9877 -5.0691 -2.8186
-8.5337 -3.7343 0.0200
-3.9834 -2.2570 -0.5851
-1.5430 0.0356 0.8258
-10.9741 -6.0269 -1.3909
-4.8197 -1.5568 0.6500
-7.6974 -4.4345 -1.2151
-2.5193 -2.9247 -0.0324
-4.8946 -3.3593 -1.3967
-9.1873 -4.9104 1.0614
-3.3298 -1.0809 -1.6264
-7.6225 -2.6320 0.8316
-9.9978 -3.0667 -0.5326
```

DFT total energy = -82.037 eV/cell
DOS at the Fermi energy = 0.0 states/eV/cell
E_form (uncorrected) = -1086.5 kJ/mol of formula units


No. 6
Entry from Alexandria via LeMat-Bulk: a relaxed structure of Yb2Si (PBE).

```
Yb2Si
1.0
-1.0691 -4.7017 0.0006
4.8418 -1.1017 -5.4963
6.4947 -1.4760 6.0172
Si Yb
4 8
Cartesian
5.9368 -2.5864 -1.7418
4.3306 -4.6930 2.2634
1.6211 -1.6049 -0.7493
8.6464 -5.6745 1.2708
6.8597 -5.2679 3.6908
3.4077 -2.0115 -3.1693
7.0056 -5.3017 -1.1650
3.2618 -1.9777 1.6866
5.1358 -2.4034 4.8076
5.1316 -4.8760 -4.2860
6.6851 -2.7561 1.2519
3.5823 -4.5232 -0.7304
```

DFT total energy = -39.469 eV/cell
DOS at the Fermi energy = 0.0 states/eV/cell
E_form (uncorrected) = -134.3 kJ/mol of formula units


No. 7
Entry from Alexandria via LeMat-Bulk: a relaxed structure of Rb2LiCd4 (PBE).

```
Rb2LiCd4
1.0
-3.5439 2.7107 -3.0006
-2.8227 -4.5152 -0.7452
-8.1566 0.9598 5.6829
Li Rb Cd
1 2 4
Cartesian
0.0000 0.0000 0.0000
-9.8478 -0.5011 1.5431
-4.6754 -0.3436 0.3940
-7.7834 -1.2741 -1.5932
-6.7397 0.4293 3.5304
-1.4114 -2.2576 -0.3726
-1.7719 1.3553 -1.5003
```

DFT total energy = -7.149 eV/cell
DFT formation energy = 0.051 eV per atom
DOS at the Fermi energy = 5.8 states/eV/cell


No. 8
Entry from Alexandria via LeMat-Bulk: a relaxed structure of NbAg3Pd6 (PBE).

```
NbAg3Pd6
1.0
4.0678 0.0000 0.0000
0.0000 8.8515 -0.2700
0.0000 -0.0503 9.1068
Nb Ag Pd
2 6 12
Cartesian
1.0170 8.2658 5.4458
3.0509 0.5354 3.3910
1.0170 4.8561 3.5004
3.0509 3.9452 5.3364
1.0170 3.0397 7.1671
3.0509 5.7615 1.6697
1.0170 6.6380 -0.1752
3.0509 2.1633 9.0120
1.0170 3.9674 0.7883
3.0509 4.8338 8.0485
1.0170 1.3288 1.8025
3.0509 7.4724 7.0343
1.0170 5.7473 6.1879
3.0509 3.0539 2.6489
1.0170 2.0154 4.4685
3.0509 6.7859 4.3684
1.0170 7.6492 2.6274
3.0509 1.1520 6.2094
1.0170 0.3819 8.1625
3.0509 8.4193 0.6743
```

DFT total energy = -103.128 eV/cell
DFT formation energy = -0.178 eV per atom
DOS at the Fermi energy = 10.8 states/eV/cell


No. 9
Entry from Alexandria via LeMat-Bulk: a relaxed structure of MgInWCl2 (PBE).

```
MgInWCl2
1.0
-3.0648 -3.7933 -1.6172
4.4236 -4.1838 1.4303
-1.9493 -0.4429 4.7331
Mg Cl W In
1 2 1 1
Cartesian
2.2118 -2.0919 0.7152
-0.9747 -0.2214 2.3665
-1.5324 -1.8967 -0.8086
-0.2953 -4.2100 2.2731
0.0000 0.0000 0.0000
```

DFT total energy = -15.544 eV/cell
DOS at the Fermi energy = 2.9 states/eV/cell
E_form (uncorrected) = 524.5 kJ/mol of formula units


No. 10
Entry from Alexandria via LeMat-Bulk: a relaxed structure of NaMgGa2Ru (PBE).

```
NaMgGa2Ru
1.0
4.8172 0.0000 0.0000
0.0000 4.8172 0.0000
0.0000 0.0000 4.9972
Ru Mg Ga Na
1 1 2 1
Cartesian
0.0000 0.0000 0.0000
0.0000 0.0000 2.4986
0.0000 2.4086 0.0000
2.4086 0.0000 0.0000
2.4086 2.4086 2.4986
```

DFT total energy = -18.971 eV/cell
DFT formation energy = -0.145 eV per atom
DOS at the Fermi energy = 1.6 states/eV/cell


No. 11
Entry from Alexandria via LeMat-Bulk: a relaxed structure of Ca2CdO (PBE).

```
Ca2CdO
1.0
0.0000 3.5881 3.5881
3.5881 0.0000 3.5881
3.5881 3.5881 0.0000
Ca O Cd
2 1 1
Cartesian
1.7940 1.7940 1.7940
5.3821 5.3821 5.3821
0.0000 0.0000 0.0000
3.5881 3.5881 3.5881
```

DFT total energy = -11.906 eV/cell
excess energy over the best structure of this formula in the dataset = 953 meV per atom
DOS at the Fermi energy = 4.0 states/eV/cell
E_form (uncorrected) = -195.8 kJ/mol of formula units


No. 12
Entry from Alexandria via LeMat-Bulk: a relaxed structure of Eu2LuIn (PBE).

```
Eu2LuIn
1.0
5.6223 0.0000 0.0000
2.8111 4.8690 0.0000
2.8111 1.6230 4.5906
Eu Lu In
2 1 1
Cartesian
2.8111 1.6230 1.1476
8.4334 4.8690 3.4429
0.0000 0.0000 0.0000
5.6223 3.2460 2.2953
```

DFT total energy = -28.308 eV/cell
excess energy over the best structure of this formula in the dataset = 56 meV per atom
DFT formation energy = -0.125 eV per atom
DOS at the Fermi energy = 3.3 states/eV/cell